## a
# CsTe2H, relaxed, DFT GGA-PBE
data_CsTe2H
_chemical_formula_sum 'Cs3 Te6 H3'
_cell_length_a 3.9013
_cell_length_b 3.9013
_cell_length_c 29.6385
_cell_angle_alpha 90.00
_cell_angle_beta 90.00
_cell_angle_gamma 120.00
_symmetry_space_group_name_H-M 'R -3 m'
_symmetry_Int_Tables_number 166
_symmetry_space_group_name_Hall '-R 3 2"'
loop_
_atom_site_label
_atom_site_fract_x
_atom_site_fract_y
_atom_site_fract_z
Cs1 0.0000 0.0000 0.0000
Te1 0.0000 0.0000 0.4341
H1 0.0000 0.0000 0.5000
# * density: 4.962 Mg/m³

---

## b
# CsTe2H, relaxed, DFT GGA-PBE
data_CsTe2H
_chemical_formula_sum 'Cs4 Te8 H4'
_cell_length_a 8.3228
_cell_length_b 8.3228
_cell_length_c 8.3228
_cell_angle_alpha 90.00
_cell_angle_beta 90.00
_cell_angle_gamma 90.00
_symmetry_space_group_name_H-M 'F m -3 m'
_symmetry_Int_Tables_number 225
_symmetry_space_group_name_Hall '-F 4 2 3'
loop_
_atom_site_label
_atom_site_fract_x
_atom_site_fract_y
_atom_site_fract_z
Cs1 0.0000 0.0000 0.0000
Te1 0.2500 0.2500 0.2500
H1 0.0000 0.0000 0.5000
# * density: 4.483 Mg/m³

---

## c
# CsTe2H, relaxed, DFT GGA-PBE
data_CsTe2H
_chemical_formula_sum 'Cs4 Te8 H4'
_cell_length_a 5.8510
_cell_length_b 7.2456
_cell_length_c 17.7244
_cell_angle_alpha 90.00
_cell_angle_beta 100.41
_cell_angle_gamma 90.00
_symmetry_space_group_name_H-M 'P 1 2/c 1'
_symmetry_Int_Tables_number 13
_symmetry_space_group_name_Hall '-P 2yc'
loop_
_atom_site_label
_atom_site_fract_x
_atom_site_fract_y
_atom_site_fract_z
Cs1 0.0251 0.2347 0.4033
Te1 0.1273 0.2569 0.6865
Te2 0.4658 0.4478 0.5746
H1 0.1351 0.3324 0.8693
# * density: 3.497 Mg/m³

---

## d
# CsTe2H, relaxed, DFT GGA-PBE
data_CsTe2H
_chemical_formula_sum 'Cs4 Te8 H4'
_cell_length_a 6.8186
_cell_length_b 6.8186
_cell_length_c 11.0426
_cell_angle_alpha 90.00
_cell_angle_beta 90.00
_cell_angle_gamma 90.00
_symmetry_space_group_name_H-M 'I 41/a m d'
_symmetry_Int_Tables_number 141
loop_
_symmetry_equiv_pos_as_xyz
'x,y,z'
'-x,-y,-z'
'-y+1/4,x+3/4,z+1/4'
'y+1/4,-x+3/4,-z+1/4'
'-x+1/2,-y,z+1/2'
'x+1/2,y,-z+1/2'
'y+1/4,-x+1/4,z+3/4'
'-y+1/4,x+1/4,-z+3/4'
'x,-y,-z'
'-x,y,z'
'-y+1/4,-x+1/4,-z+3/4'
'y+1/4,x+1/4,z+3/4'
'-x+1/2,y,-z+1/2'
'x+1/2,-y,z+1/2'
'y+1/4,x+3/4,-z+1/4'
'-y+1/4,-x+3/4,z+1/4'
'x+1/2,y+1/2,z+1/2'
'-x+1/2,-y+1/2,-z+1/2'
'-y+3/4,x+1/4,z+3/4'
'y+3/4,-x+1/4,-z+3/4'
'-x,-y+1/2,z'
'x,y+1/2,-z'
'y+3/4,-x+3/4,z+1/4'
'-y+3/4,x+3/4,-z+1/4'
'x+1/2,-y+1/2,-z+1/2'
'-x+1/2,y+1/2,z+1/2'
'-y+3/4,-x+3/4,-z+1/4'
'y+3/4,x+3/4,z+1/4'
'-x,y+1/2,-z'
'x,-y+1/2,z'
'y+3/4,x+1/4,-z+3/4'
'-y+3/4,-x+1/4,z+3/4'
loop_
_atom_site_label
_atom_site_fract_x
_atom_site_fract_y
_atom_site_fract_z
Cs1 0.0000 0.2500 0.3750
Te1 0.0000 0.0000 0.0000
H1 0.0000 0.2500 0.8750
# * density: 5.034 Mg/m³

---

In terms of stability, c leads; the second structure lies 0.246 eV/atom higher.

---

## a
# Cs2TiH, relaxed, DFT GGA-PBE
data_Cs2TiH
_chemical_formula_sum 'Cs8 Ti4 H4'
_cell_length_a 9.0073
_cell_length_b 9.0073
_cell_length_c 9.0073
_cell_angle_alpha 90.00
_cell_angle_beta 90.00
_cell_angle_gamma 90.00
_symmetry_space_group_name_H-M 'F m -3 m'
_symmetry_Int_Tables_number 225
_symmetry_space_group_name_Hall '-F 4 2 3'
loop_
_atom_site_label
_atom_site_fract_x
_atom_site_fract_y
_atom_site_fract_z
Cs1 0.2500 0.2500 0.2500
Ti1 0.0000 0.0000 0.0000
H1 0.0000 0.0000 0.5000
# * density: 2.860 Mg/m³

---

## b
# Cs2TiH, relaxed, DFT GGA-PBE
data_Cs2TiH
_chemical_formula_sum 'Cs8 Ti4 H4'
_cell_length_a 13.4890
_cell_length_b 13.4890
_cell_length_c 3.9089
_cell_angle_alpha 90.00
_cell_angle_beta 90.00
_cell_angle_gamma 90.00
_symmetry_space_group_name_H-M 'I -4 2 d'
_symmetry_Int_Tables_number 122
_symmetry_space_group_name_Hall 'I -4 2bw'
loop_
_atom_site_label
_atom_site_fract_x
_atom_site_fract_y
_atom_site_fract_z
Cs1 0.0649 0.7500 0.1250
Ti1 0.0000 0.0000 0.5000
H1 0.0000 0.0000 0.0000
# * density: 2.939 Mg/m³

---

In terms of stability, b leads; the second structure lies 0.476 eV/atom higher.

---

## a
# CsTlH, relaxed, DFT GGA-PBE
data_CsTlH
_chemical_formula_sum 'Cs2 Tl2 H2'
_cell_length_a 3.8647
_cell_length_b 7.7460
_cell_length_c 6.1574
_cell_angle_alpha 90.00
_cell_angle_beta 90.27
_cell_angle_gamma 90.00
_symmetry_space_group_name_H-M 'P 1 c 1'
_symmetry_Int_Tables_number 7
_symmetry_space_group_name_Hall 'P -2yc'
loop_
_atom_site_label
_atom_site_fract_x
_atom_site_fract_y
_atom_site_fract_z
Cs1 0.0000 0.1657 0.0000
Tl1 0.4993 0.4173 0.5010
H1 0.4997 0.1456 0.5030
# * density: 6.095 Mg/m³

---

## b
# CsTlH, relaxed, DFT GGA-PBE
data_CsTlH
_chemical_formula_sum 'Cs4 Tl4 H4'
_cell_length_a 9.5202
_cell_length_b 5.4988
_cell_length_c 8.3422
_cell_angle_alpha 90.00
_cell_angle_beta 112.44
_cell_angle_gamma 90.00
_symmetry_space_group_name_H-M 'C 1 2/m 1'
_symmetry_Int_Tables_number 12
_symmetry_space_group_name_Hall '-C 2y'
loop_
_atom_site_label
_atom_site_fract_x
_atom_site_fract_y
_atom_site_fract_z
Cs1 0.1013 0.0000 0.3031
Tl1 0.1735 0.5000 0.0201
H1 0.2371 0.0000 0.7134
# * density: 5.567 Mg/m³

---

In terms of stability, b leads; the second structure lies 0.110 eV/atom higher.

---

## a
# CsH3W, relaxed, DFT GGA-PBE
data_CsH3W
_chemical_formula_sum 'Cs1 H3 W1'
_cell_length_a 4.3502
_cell_length_b 4.3502
_cell_length_c 4.3502
_cell_angle_alpha 90.00
_cell_angle_beta 90.00
_cell_angle_gamma 90.00
_symmetry_space_group_name_H-M 'P m -3 m'
_symmetry_Int_Tables_number 221
_symmetry_space_group_name_Hall '-P 4 2 3'
loop_
_atom_site_label
_atom_site_fract_x
_atom_site_fract_y
_atom_site_fract_z
Cs1 0.0000 0.0000 0.0000
H1 0.0000 0.0000 0.5000
W1 0.5000 0.5000 0.5000
# * density: 6.450 Mg/m³

---

## b
# CsH3W, relaxed, DFT GGA-PBE
data_CsH3W
_chemical_formula_sum 'Cs1 H3 W1'
_cell_length_a 4.1915
_cell_length_b 4.1915
_cell_length_c 4.1915
_cell_angle_alpha 90.00
_cell_angle_beta 90.00
_cell_angle_gamma 90.00
_symmetry_space_group_name_H-M 'P m -3 m'
_symmetry_Int_Tables_number 221
_symmetry_space_group_name_Hall '-P 4 2 3'
loop_
_atom_site_label
_atom_site_fract_x
_atom_site_fract_y
_atom_site_fract_z
Cs1 0.0000 0.0000 0.0000
H1 0.0000 0.5000 0.5000
W1 0.5000 0.5000 0.5000
# * density: 7.211 Mg/m³

---

In terms of stability, b leads; the second structure lies 1.759 eV/atom higher.

---

## a
# CsY3H, relaxed, DFT GGA-PBE
data_CsY3H
_chemical_formula_sum 'Cs1 Y3 H1'
_cell_length_a 5.7216
_cell_length_b 5.7216
_cell_length_c 5.7216
_cell_angle_alpha 90.00
_cell_angle_beta 90.00
_cell_angle_gamma 90.00
_symmetry_space_group_name_H-M 'P m -3 m'
_symmetry_Int_Tables_number 221
_symmetry_space_group_name_Hall '-P 4 2 3'
loop_
_atom_site_label
_atom_site_fract_x
_atom_site_fract_y
_atom_site_fract_z
Cs1 0.0000 0.0000 0.0000
Y1 0.0000 0.0000 0.5000
H1 0.5000 0.5000 0.5000
# * density: 3.552 Mg/m³

---

## b
# CsY3H, relaxed, DFT GGA-PBE
data_CsY3H
_chemical_formula_sum 'Cs1 Y3 H1'
_cell_length_a 5.2468
_cell_length_b 5.2468
_cell_length_c 5.2468
_cell_angle_alpha 90.00
_cell_angle_beta 90.00
_cell_angle_gamma 90.00
_symmetry_space_group_name_H-M 'P m -3 m'
_symmetry_Int_Tables_number 221
_symmetry_space_group_name_Hall '-P 4 2 3'
loop_
_atom_site_label
_atom_site_fract_x
_atom_site_fract_y
_atom_site_fract_z
Cs1 0.0000 0.0000 0.0000
Y1 0.0000 0.5000 0.5000
H1 0.5000 0.5000 0.5000
# * density: 4.606 Mg/m³

---

In terms of stability, b leads; the second structure lies 1.455 eV/atom higher.

---

## a
# CsYH3, relaxed, DFT GGA-PBE
data_CsYH3
_chemical_formula_sum 'Cs1 Y1 H3'
_cell_length_a 4.9252
_cell_length_b 4.9252
_cell_length_c 4.9252
_cell_angle_alpha 90.00
_cell_angle_beta 90.00
_cell_angle_gamma 90.00
_symmetry_space_group_name_H-M 'P m -3 m'
_symmetry_Int_Tables_number 221
_symmetry_space_group_name_Hall '-P 4 2 3'
loop_
_atom_site_label
_atom_site_fract_x
_atom_site_fract_y
_atom_site_fract_z
Cs1 0.0000 0.0000 0.0000
Y1 0.5000 0.5000 0.5000
H1 0.0000 0.0000 0.5000
# * density: 3.125 Mg/m³

---

## b
# CsYH3, relaxed, DFT GGA-PBE
data_CsYH3
_chemical_formula_sum 'Cs1 Y1 H3'
_cell_length_a 4.5074
_cell_length_b 4.5074
_cell_length_c 4.5074
_cell_angle_alpha 90.00
_cell_angle_beta 90.00
_cell_angle_gamma 90.00
_symmetry_space_group_name_H-M 'P m -3 m'
_symmetry_Int_Tables_number 221
_symmetry_space_group_name_Hall '-P 4 2 3'
loop_
_atom_site_label
_atom_site_fract_x
_atom_site_fract_y
_atom_site_fract_z
Cs1 0.0000 0.0000 0.0000
Y1 0.5000 0.5000 0.5000
H1 0.0000 0.5000 0.5000
# * density: 4.077 Mg/m³

---

In terms of stability, b leads; the second structure lies 1.219 eV/atom higher.